Entry 1:
The following is a PBE calculation of Tl2SiAu after structural relaxation, from Alexandria.

a = 5.353 Å, b = 5.353 Å, c = 5.353 Å
α = 127.56°, β = 127.56°, γ = 77.34°
Sites, in units of the cell vectors:
1 Tl 0.250 0.750 0.500
2 Tl 0.000 0.000 0.000
3 Si 0.750 0.250 0.500
4 Au 0.500 0.500 0.000

Values from the calculation:
- Energy: -2.97 eV per atom
- Energy relative to the elements, uncorrected: 37.47 kJ/mol of atoms
- Calculated volume: 94 Å³/cell
- Energy above the most stable polymorph in this dataset: 0.360 eV/atom



Entry 2:
The following is a PBE calculation of La5Pr2NdMg after structural relaxation, from Alexandria.

a = 5.715 Å, b = 10.565 Å, c = 11.129 Å
α = 90.00°, β = 90.00°, γ = 105.69°
Sites, in units of the cell vectors:
1 La 0.989 0.978 0.508
2 La 0.714 0.427 0.810
3 La 0.286 0.573 0.310
4 La 0.500 0.999 0.757
5 La 0.288 0.576 0.708
6 La 0.712 0.424 0.208
7 La 0.011 0.022 0.008
8 La 0.500 0.001 0.257
9 La 0.620 0.241 0.508
10 La 0.380 0.759 0.008
11 Pr 0.884 0.769 0.799
12 Pr 0.883 0.767 0.218
13 Pr 0.117 0.233 0.718
14 Pr 0.116 0.231 0.299
15 Mg 0.594 0.188 0.006
16 Mg 0.406 0.812 0.506
17 Nd 0.193 0.387 0.009
18 Nd 0.807 0.613 0.509

Values from the calculation:
- Energy: -4.44 eV per atom
- DFT formation energy: 69 meV/atom
- Calculated volume: 647 Å³/cell



Entry 3:
The following is a PBE calculation of NbBiSN2 after structural relaxation, from Alexandria.

a = 4.239 Å, b = 4.239 Å, c = 5.206 Å
α = 90.00°, β = 90.00°, γ = 90.00°
Site moments in Bohr magnetons follow the coordinates.
Sites, in units of the cell vectors:
1 N 0.500 0.000 0.000  -0.40
2 N 0.000 0.500 0.000  -0.40
3 S 0.000 0.000 0.500  -0.09
4 Bi 0.000 0.000 0.000  0.03
5 Nb 0.500 0.500 0.500  2.25

Values from the calculation:
- Energy: -5.29 eV per atom
- Energy relative to the elements, uncorrected: 159.66 kJ/mol of atoms
- Calculated volume: 94 Å³/cell
- Energy above the most stable polymorph in this dataset: 1.481 eV/atom